Model 1:
Computed, not measured: Zr3RuI after structural relaxation at the PBE-GGA level of DFT.

space-group type: Pm-3m, No. 221
size of the total moment: 0.00 μB per cell

```
Zr3RuI
1.0
5.0913 0.0000 0.0000
0.0000 5.0913 0.0000
0.0000 0.0000 5.0913
I Ru Zr
1 1 3
direct
0.5000 0.5000 0.5000
0.0000 0.0000 0.0000
0.0000 0.5000 0.0000
0.0000 0.0000 0.5000
0.5000 0.0000 0.0000
```

***

Model 2:
Computed, not measured: Zr3RuI after structural relaxation at the PBE-GGA level of DFT.

space-group type: Pm-3m, No. 221
size of the total moment: 0.00 μB per cell

```
Zr3RuI
1.0
5.1343 0.0000 0.0000
0.0000 5.1343 0.0000
0.0000 0.0000 5.1343
I Ru Zr
1 1 3
direct
0.0000 0.0000 0.0000
0.5000 0.5000 0.5000
0.0000 0.5000 0.0000
0.0000 0.0000 0.5000
0.5000 0.0000 0.0000
```

***

Winner for stability: model 1

***

Model 1:
Computed, not measured: Sb2S2I after structural relaxation at the PBE-GGA level of DFT.

space-group type: C2/m, No. 12
size of the total moment: 0.00 μB per cell

```
Sb2S2I
1.0
-3.0954 -1.6282 3.2237
-2.1215 -2.6460 -3.3351
7.1175 -2.2479 1.4057
Sb S I
2 2 1
direct
0.6091 0.6091 0.3047
0.3909 0.3909 0.6953
0.2436 0.7564 0.5000
0.7564 0.2436 0.5000
0.0000 0.0000 0.0000
```

***

Model 2:
Computed, not measured: Sb2S2I after structural relaxation at the PBE-GGA level of DFT.

space-group type: P-1, No. 2
size of the total moment: 0.00 μB per cell

```
Sb2S2I
1.0
4.0085 0.0030 0.0030
1.9963 9.8010 3.1840
0.0022 2.4999 8.4031
Sb S I
4 4 2
direct
0.1526 0.6949 0.9512
0.7860 0.4302 0.4178
0.8474 0.3051 0.0488
0.2140 0.5698 0.5822
0.3114 0.3753 0.2338
0.6437 0.7123 0.1459
0.6886 0.6247 0.7662
0.3563 0.2877 0.8541
0.0199 0.9590 0.2890
0.9801 0.0410 0.7110
```

***

Winner for stability: model 2

***

Model 1:
Computed, not measured: ScSbSI2 after structural relaxation at the PBE-GGA level of DFT.

space-group type: P4/mmm, No. 123
size of the total moment: 0.38 μB per cell

```
ScSbSI2
1.0
5.4663 0.0000 0.0000
0.0000 5.4663 0.0000
0.0000 0.0000 5.9834
I Sb S Sc
2 1 1 1
direct
0.0000 0.5000 0.0000
0.5000 0.0000 0.0000
0.0000 0.0000 0.5000
0.5000 0.5000 0.5000
0.0000 0.0000 0.0000
```

***

Model 2:
Computed, not measured: ScSbSI2 after structural relaxation at the PBE-GGA level of DFT.

space-group type: P4/mmm, No. 123
size of the total moment: 0.16 μB per cell

```
ScSbSI2
1.0
-4.9117 -1.9644 -1.3704
2.3856 -3.7332 -3.1990
0.2061 -3.3491 4.0620
I Sb S Sc
2 1 1 1
direct
0.0000 0.5000 0.0000
0.5000 0.0000 0.0000
0.0000 0.0000 0.5000
0.0000 0.0000 0.0000
0.5000 0.5000 0.5000
```

***

Winner for stability: model 1

***

Model 1:
Computed, not measured: SnSbSI2 after structural relaxation at the PBE-GGA level of DFT.

space-group type: P4/mmm, No. 123
size of the total moment: 1.06 μB per cell

```
SnSbSI2
1.0
-5.5832 0.3472 1.6991
0.3276 -5.4138 2.1826
1.8069 2.3125 5.4649
I Sb S Sn
2 1 1 1
direct
0.0000 0.5000 0.0000
0.5000 0.0000 0.0000
0.0000 0.0000 0.0000
0.5000 0.5000 0.5000
0.0000 0.0000 0.5000
```

***

Model 2:
Computed, not measured: SnSbSI2 after structural relaxation at the PBE-GGA level of DFT.

space-group type: P4/mmm, No. 123
size of the total moment: 0.00 μB per cell

```
SnSbSI2
1.0
-1.7365 -5.3135 0.2269
3.3162 -0.8952 4.4161
-3.9360 1.4249 3.2446
I Sb S Sn
2 1 1 1
direct
0.0000 0.5000 0.0000
0.5000 0.0000 0.0000
0.0000 0.0000 0.5000
0.0000 0.0000 0.0000
0.5000 0.5000 0.5000
```

***

Model 3:
Computed, not measured: SnSbSI2 after structural relaxation at the PBE-GGA level of DFT.

space-group type: P4/mmm, No. 123
size of the total moment: 0.00 μB per cell

```
SnSbSI2
1.0
5.7264 0.0000 0.0000
0.0000 5.7264 0.0000
0.0000 0.0000 6.0778
I Sb S Sn
2 1 1 1
direct
0.0000 0.5000 0.0000
0.5000 0.0000 0.0000
0.0000 0.0000 0.5000
0.5000 0.5000 0.5000
0.0000 0.0000 0.0000
```

***

Winner for stability: model 2

***

Model 1:
Computed, not measured: SrSb2SI after structural relaxation at the PBE-GGA level of DFT.

space-group type: P4/mmm, No. 123
size of the total moment: 0.00 μB per cell

```
SrSb2SI
1.0
-4.0813 3.2081 -3.5576
3.4930 -1.2056 -5.0943
-3.0878 -4.9714 -0.9407
I Sb S Sr
1 2 1 1
direct
0.0000 0.0000 0.5000
0.0000 0.5000 0.0000
0.5000 0.0000 0.0000
0.5000 0.5000 0.5000
0.0000 0.0000 0.0000
```

***

Model 2:
Computed, not measured: SrSb2SI after structural relaxation at the PBE-GGA level of DFT.

space-group type: P4/mmm, No. 123
size of the total moment: 0.00 μB per cell

```
SrSb2SI
1.0
-0.4463 0.9591 5.1964
-0.9813 -5.1392 0.8643
5.6251 -0.9629 0.6608
I Sb S Sr
1 2 1 1
direct
0.0000 0.0000 0.5000
0.0000 0.5000 0.0000
0.5000 0.0000 0.0000
0.0000 0.0000 0.0000
0.5000 0.5000 0.5000
```

***

Winner for stability: model 2

***

Model 1:
Computed, not measured: TaSbSI2 after structural relaxation at the PBE-GGA level of DFT.

space-group type: P4/mmm, No. 123
size of the total moment: 0.16 μB per cell

```
TaSbSI2
1.0
-0.4002 4.3529 -3.0074
-5.2600 -0.0027 0.6961
0.6036 3.2148 4.5728
I Sb S Ta
2 1 1 1
direct
0.0000 0.5000 0.0000
0.5000 0.0000 0.0000
0.0000 0.0000 0.5000
0.5000 0.5000 0.5000
0.0000 0.0000 0.0000
```

***

Model 2:
Computed, not measured: TaSbSI2 after structural relaxation at the PBE-GGA level of DFT.

space-group type: P4/mmm, No. 123
size of the total moment: 2.12 μB per cell

```
TaSbSI2
1.0
5.3733 0.0000 0.0000
0.0000 5.3733 0.0000
0.0000 0.0000 5.1818
I Sb S Ta
2 1 1 1
direct
0.0000 0.5000 0.0000
0.5000 0.0000 0.0000
0.0000 0.0000 0.5000
0.0000 0.0000 0.0000
0.5000 0.5000 0.5000
```

***

Winner for stability: model 1

***

Model 1:
Computed, not measured: TcSb2SI after structural relaxation at the PBE-GGA level of DFT.

space-group type: P4/mmm, No. 123
size of the total moment: 3.44 μB per cell

```
TcSb2SI
1.0
-4.3546 0.4477 2.7892
-2.6417 -2.4607 -3.7294
1.0517 -4.7805 2.4093
I Sb S Tc
1 2 1 1
direct
0.0000 0.0000 0.5000
0.0000 0.5000 0.0000
0.5000 0.0000 0.0000
0.0000 0.0000 0.0000
0.5000 0.5000 0.5000
```

***

Model 2:
Computed, not measured: TcSb2SI after structural relaxation at the PBE-GGA level of DFT.

space-group type: P4/mmm, No. 123
size of the total moment: 0.00 μB per cell

```
TcSb2SI
1.0
-0.5103 5.1198 0.1965
-4.5075 -0.3547 -2.4633
-2.4984 -0.4269 4.6332
I Sb S Tc
1 2 1 1
direct
0.0000 0.0000 0.5000
0.0000 0.5000 0.0000
0.5000 0.0000 0.0000
0.5000 0.5000 0.5000
0.0000 0.0000 0.0000
```

***

Winner for stability: model 2

***

Model 1:
Computed, not measured: TcSbSI2 after structural relaxation at the PBE-GGA level of DFT.

space-group type: P4/mmm, No. 123
size of the total moment: 0.79 μB per cell

```
TcSbSI2
1.0
-3.6566 3.3990 -1.7516
-2.1970 0.1161 4.8116
3.1248 4.0465 1.3292
I Sb S Tc
2 1 1 1
direct
0.0000 0.5000 0.0000
0.5000 0.0000 0.0000
0.0000 0.0000 0.5000
0.5000 0.5000 0.5000
0.0000 0.0000 0.0000
```

***

Model 2:
Computed, not measured: TcSbSI2 after structural relaxation at the PBE-GGA level of DFT.

space-group type: P4/mmm, No. 123
size of the total moment: 4.31 μB per cell

```
TcSbSI2
1.0
5.5439 0.0000 0.0000
0.0000 5.5439 0.0000
0.0000 0.0000 5.2507
I Sb S Tc
2 1 1 1
direct
0.0000 0.5000 0.0000
0.5000 0.0000 0.0000
0.0000 0.0000 0.5000
0.0000 0.0000 0.0000
0.5000 0.5000 0.5000
```

***

Winner for stability: model 1

***

Model 1:
Computed, not measured: SbTeSI2 after structural relaxation at the PBE-GGA level of DFT.

space-group type: P4/mmm, No. 123
size of the total moment: 2.90 μB per cell

```
SbTeSI2
1.0
5.9773 0.0000 0.0000
0.0000 5.9773 0.0000
0.0000 0.0000 5.9124
I Sb S Te
2 1 1 1
direct
0.0000 0.5000 0.0000
0.5000 0.0000 0.0000
0.0000 0.0000 0.0000
0.5000 0.5000 0.5000
0.0000 0.0000 0.5000
```

***

Model 2:
Computed, not measured: SbTeSI2 after structural relaxation at the PBE-GGA level of DFT.

space-group type: P4/mmm, No. 123
size of the total moment: 0.00 μB per cell

```
SbTeSI2
1.0
-1.0673 5.0573 0.3576
-1.1749 0.1088 -5.0449
-5.8941 -1.3389 1.3437
I Sb S Te
2 1 1 1
direct
0.0000 0.5000 0.0000
0.5000 0.0000 0.0000
0.0000 0.0000 0.5000
0.0000 0.0000 0.0000
0.5000 0.5000 0.5000
```

***

Winner for stability: model 2

***

Model 1:
Computed, not measured: SbTeSI2 after structural relaxation at the PBE-GGA level of DFT.

space-group type: P4/mmm, No. 123
size of the total moment: 1.01 μB per cell

```
SbTeSI2
1.0
-5.3680 -0.5257 -2.0862
0.3598 -5.7482 0.5227
-2.3059 0.3863 5.8357
I Sb S Te
2 1 1 1
direct
0.0000 0.5000 0.0000
0.5000 0.0000 0.0000
0.0000 0.0000 0.5000
0.5000 0.5000 0.5000
0.0000 0.0000 0.0000
```

***

Model 2:
Computed, not measured: SbTeSI2 after structural relaxation at the PBE-GGA level of DFT.

space-group type: P4/mmm, No. 123
size of the total moment: 0.00 μB per cell

```
SbTeSI2
1.0
5.4719 0.0000 0.0000
0.0000 5.4719 0.0000
0.0000 0.0000 5.3900
I Sb S Te
2 1 1 1
direct
0.0000 0.5000 0.0000
0.5000 0.0000 0.0000
0.5000 0.5000 0.5000
0.0000 0.0000 0.0000
0.0000 0.0000 0.5000
```

***

Winner for stability: model 2

***

Model 1:
Computed, not measured: TiSb2SI after structural relaxation at the PBE-GGA level of DFT.

space-group type: P4/mmm, No. 123
size of the total moment: 0.15 μB per cell

```
TiSb2SI
1.0
5.1432 0.0000 0.0000
0.0000 5.1432 0.0000
0.0000 0.0000 5.4201
I Sb S Ti
1 2 1 1
direct
0.0000 0.0000 0.5000
0.0000 0.5000 0.0000
0.5000 0.0000 0.0000
0.0000 0.0000 0.0000
0.5000 0.5000 0.5000
```

***

Model 2:
Computed, not measured: TiSb2SI after structural relaxation at the PBE-GGA level of DFT.

space-group type: P4/mmm, No. 123
size of the total moment: 0.00 μB per cell

```
TiSb2SI
1.0
5.3395 0.0000 0.0000
0.0000 5.3395 0.0000
0.0000 0.0000 5.1222
I Sb S Ti
1 2 1 1
direct
0.0000 0.0000 0.5000
0.0000 0.5000 0.0000
0.5000 0.0000 0.0000
0.5000 0.5000 0.5000
0.0000 0.0000 0.0000
```

***

Winner for stability: model 2

***

Model 1:
Computed, not measured: TiSbSI2 after structural relaxation at the PBE-GGA level of DFT.

space-group type: P4/mmm, No. 123
size of the total moment: 0.07 μB per cell

```
TiSbSI2
1.0
5.4444 0.0000 0.0000
0.0000 5.4444 0.0000
0.0000 0.0000 5.2304
I Sb S Ti
2 1 1 1
direct
0.0000 0.5000 0.0000
0.5000 0.0000 0.0000
0.0000 0.0000 0.5000
0.0000 0.0000 0.0000
0.5000 0.5000 0.5000
```

***

Model 2:
Computed, not measured: TiSbSI2 after structural relaxation at the PBE-GGA level of DFT.

space-group type: P4/mmm, No. 123
size of the total moment: 0.52 μB per cell

```
TiSbSI2
1.0
-4.1195 -0.2039 3.2092
-2.6186 -2.8145 -3.5402
2.0201 -4.7608 2.2907
I Sb S Ti
2 1 1 1
direct
0.0000 0.5000 0.0000
0.5000 0.0000 0.0000
0.0000 0.0000 0.5000
0.5000 0.5000 0.5000
0.0000 0.0000 0.0000
```

***

Winner for stability: model 2